PmAgRuPb (PBE, relaxed); ΔH_f (0 K) = 0.0155 eV per atom
1.0
4.9510 0.0000 0.0000
2.4755 4.2877 0.0000
2.4755 1.4292 4.0425
Ag Pb Ru Pm
1 1 1 1
direct
0.7500 0.7500 0.7500 Ag
0.5000 0.5000 0.5000 Pb
0.2500 0.2500 0.2500 Ru
0.0000 0.0000 0.0000 Pm